A plane-wave DFT calculation with PBE was carried out for a relaxed structure of Mn4InTe.

It has space group F-43m (No. 216), with a = 7.2656 Å, b = 7.2656 Å, c = 7.2656 Å, α = 90.00°, β = 90.00° and γ = 90.00°. The asymmetric unit holds Mn at (0.1252, 0.1252, 0.1252), In at (0.0000, 0.0000, 0.5000) and Te at (0.2500, 0.2500, 0.7500).

The calculation puts the uncorrected formation energy at 39.6 kJ/mol of atoms. Its volume is 384 Å³/cell.


A plane-wave DFT calculation with PBE was carried out for a relaxed structure of Sr2Ga2P.

It has space group P4/mbm (No. 127), with a = 7.3713 Å, b = 7.3713 Å, c = 4.8397 Å, α = 90.00°, β = 90.00° and γ = 90.00°. The asymmetric unit holds Sr at (0.1779, 0.3221, 0.0000), Ga at (0.1267, 0.6267, 0.5000) and P at (0.0000, 0.0000, 0.5000).

As for the energy of formation from the pure elements: -0.35 eV/atom. Its volume is 263 Å³/cell.


Number 1: energy -6.683 eV/atom. Number 2: energy -3.315 eV/atom.